A relaxed LiGaNi2 crystal, computed with PBE.

```
data_LiGaNi2
_symmetry_space_group_name_H-M 'P 4/m m m'
_symmetry_Int_Tables_number 123
_symmetry_space_group_name_Hall '-P 4 2'
_cell_length_a 2.930
_cell_length_b 2.930
_cell_length_c 5.477
_cell_angle_alpha 90.00
_cell_angle_beta 90.00
_cell_angle_gamma 90.00
loop_
_atom_site_label
_atom_site_fract_x
_atom_site_fract_y
_atom_site_fract_z
Li1 0.000 0.000 0.000
Ga1 0.000 0.000 0.500
Ni1 0.500 0.500 0.251
```

Energy of formation (eV/f.u.): -0.9
Total magnetic moment (μB/f.u.): 0.00
Calculated volume (Å³ per cell): 47.0